Run w
Compound: TeRuI2N
Source: the Alexandria database
Functional: PBE-GGA
Structure: optimized geometry

POSCAR file:
```
TeRuI2N
1.0
-0.681 -4.589 -3.265
0.342 -3.316 4.590
-3.699 0.233 0.444
I Ru Te N
2 1 1 1
Direct
0.500 0.000 0.000
0.000 0.500 0.000
0.000 0.000 0.000
0.500 0.500 0.500
0.000 0.000 0.500
```

Calculated values
**SG**: P4/mmm, No. 123

---

Run x
Compound: TeRuI2N
Source: the Alexandria database
Functional: PBE-GGA
Structure: optimized geometry

POSCAR file:
```
TeRuI2N
1.0
4.835 0.000 0.000
0.000 4.835 0.000
0.000 0.000 4.926
I N Te Ru
2 1 1 1
Direct
0.500 0.000 0.000
0.000 0.500 0.000
0.000 0.000 0.000
0.000 0.000 0.500
0.500 0.500 0.500
```

Calculated values
**SG**: P4/mmm, No. 123

---

Energy above the most stable structure, in meV/atom: run w 0; run x 1000

---

Run w
Compound: Te2RuIN
Source: the Alexandria database
Functional: PBE-GGA
Structure: optimized geometry

POSCAR file:
```
Te2RuIN
1.0
5.859 0.000 0.000
0.000 5.859 0.000
0.000 0.000 3.855
I N Te Ru
1 1 2 1
Direct
0.000 0.000 0.000
0.000 0.000 0.500
0.000 0.500 0.000
0.500 0.000 0.000
0.500 0.500 0.500
```

Calculated values
**SG**: P4/mmm, No. 123

---

Run x
Compound: Te2RuIN
Source: the Alexandria database
Functional: PBE-GGA
Structure: optimized geometry

POSCAR file:
```
Te2RuIN
1.0
-0.758 3.510 4.348
-4.511 2.206 -2.567
-2.155 -2.498 1.641
Te I N Ru
2 1 1 1
Direct
0.500 0.000 0.000
0.000 0.500 0.000
0.500 0.500 0.500
0.000 0.000 0.500
0.000 0.000 0.000
```

Calculated values
**SG**: P4/mmm, No. 123

---

Energy above the most stable structure, in meV/atom: run w 1422; run x 0